No. 1
A plane-wave DFT calculation with PBE was carried out for LaTaN3 after structural relaxation.

Unit cell a=7.3815 b=7.3815 c=5.4903 alpha=91.25 beta=91.25 gamma=97.23
Closest atoms and distances in Å follow each position.
Positions (direct):
La1 0.0808 0.2754 0.1010  5 N 2.39-2.64
La2 0.2754 0.0808 0.6010  5 N 2.39-2.64
La3 0.7246 0.9192 0.3990  5 N 2.39-2.64
La4 0.9192 0.7246 0.8990  5 N 2.39-2.64
Ta1 0.2979 0.7021 0.2500  6 N 2.07-2.16
Ta2 0.4168 0.5832 0.7500  4 N 1.97-2.15
Ta3 0.5832 0.4168 0.2500  4 N 1.97-2.15
Ta4 0.7021 0.2979 0.7500  6 N 2.07-2.16
N1 0.0500 0.8193 0.3196  1 N 1.51
N2 0.1807 0.9500 0.1804  1 N 1.51
N3 0.1878 0.5754 0.9308  2 Ta 1.97-2.07
N4 0.3053 0.4540 0.4160  3 Ta 2.07-2.31
N5 0.4246 0.8122 0.5692  2 Ta 1.97-2.07
N6 0.4540 0.3053 0.9160  3 Ta 2.07-2.31
N7 0.5460 0.6947 0.0840  3 Ta 2.07-2.31
N8 0.5754 0.1878 0.4308  2 Ta 1.97-2.07
N9 0.6947 0.5460 0.5840  3 Ta 2.07-2.31
N10 0.8122 0.4246 0.0692  2 Ta 1.97-2.07
N11 0.8193 0.0500 0.8196  1 N 1.51
N12 0.9500 0.1807 0.6804  1 N 1.51

## Properties
SG: C2/c, No. 15
ρ: 8.1 g cm⁻³
Size of the total moment: 0.00 μB per cell
Energy: -0.3469 hartree per atom

---

No. 2
A plane-wave DFT calculation with PBE was carried out for LaTaN3 after structural relaxation.

Unit cell a=4.2463 b=4.2463 c=4.2463 alpha=90.00 beta=90.00 gamma=90.00
Closest atoms and distances in Å follow each position.
Positions (direct):
La1 0.0000 0.0000 0.0000  6 N 2.12
Ta1 0.5000 0.5000 0.5000  12 N 3.00
N1 0.0000 0.0000 0.5000  2 La 2.12
N2 0.0000 0.5000 0.0000  2 La 2.12
N3 0.5000 0.0000 0.0000  2 La 2.12

## Properties
SG: Pm-3m, No. 221
ρ: 7.8 g cm⁻³
Size of the total moment: 0.00 μB per cell
Energy: -0.2444 hartree per atom

---

No. 3
A plane-wave DFT calculation with PBE was carried out for LaTa2N6 after structural relaxation.

Unit cell a=7.0515 b=7.0515 c=7.0515 alpha=60.00 beta=60.00 gamma=60.00
Closest atoms and distances in Å follow each position.
Positions (direct):
La1 0.1250 0.1250 0.1250  6 N 2.65
La2 0.8750 0.8750 0.8750  6 N 2.65
Ta1 0.0000 0.5000 0.5000  6 N 2.07
Ta2 0.5000 0.0000 0.5000  6 N 2.07
Ta3 0.5000 0.5000 0.0000  6 N 2.07
Ta4 0.5000 0.5000 0.5000  6 N 2.07
N1 0.1409 0.1409 0.6091  2 Ta 2.07
N2 0.1409 0.6091 0.1409  2 Ta 2.07
N3 0.1409 0.6091 0.6091  2 Ta 2.07
N4 0.3909 0.3909 0.8591  2 Ta 2.07
N5 0.3909 0.8591 0.3909  2 Ta 2.07
N6 0.3909 0.8591 0.8591  2 Ta 2.07
N7 0.6091 0.1409 0.1409  2 Ta 2.07
N8 0.6091 0.1409 0.6091  2 Ta 2.07
N9 0.6091 0.6091 0.1409  2 Ta 2.07
N10 0.8591 0.3909 0.3909  2 Ta 2.07
N11 0.8591 0.3909 0.8591  2 Ta 2.07
N12 0.8591 0.8591 0.3909  2 Ta 2.07

## Properties
SG: Fd-3m, No. 227
ρ: 7.8 g cm⁻³
Size of the total moment: 0.00 μB per cell
Energy: -0.3175 hartree per atom

---

No. 4
A plane-wave DFT calculation with PBE was carried out for LaTaN3 after structural relaxation.

Unit cell a=7.1998 b=7.1998 c=6.9693 alpha=117.55 beta=117.55 gamma=27.77
Closest atoms and distances in Å follow each position.
Positions (direct):
La1 0.1196 0.1196 0.3077  4 N 2.29-2.53
La2 0.8804 0.8804 0.6923  4 N 2.29-2.53
Ta1 0.3442 0.3442 0.2006  4 N 1.93-2.16
Ta2 0.6558 0.6558 0.7994  4 N 1.93-2.16
N1 0.0387 0.0387 0.6108  1 N 1.40
N2 0.1748 0.1748 0.0002  3 Ta 2.10-2.16
N3 0.3167 0.3167 0.4476  1 Ta 1.93
N4 0.6833 0.6833 0.5524  1 Ta 1.93
N5 0.8252 0.8252 0.9998  3 Ta 2.10-2.16
N6 0.9613 0.9613 0.3892  1 N 1.40

## Properties
SG: C2/m, No. 12
ρ: 8.1 g cm⁻³
Size of the total moment: 0.00 μB per cell
Energy: -0.3407 hartree per atom

---

- energy of number 4 (LaTaN3)?
  -0.3407 hartree per atom